[1]
Material: MnCdBr2
Method: DFT, PBE
State: optimized geometry

Output
Offset from the most stable computed form = 0.070 eV per atom
DFT total energy = -3.741 eV per atom
Calculated volume = 123.47 Å³ per cell
Symmetry = Pm

abc: 3.6916 5.7719 6.2413
angles: 68.19 90.00 90.00
Fractional positions:
1 Br 0.0000 0.8909 0.9497
2 Br 0.5000 0.2371 0.3469
3 Cd 0.0000 0.5405 0.5186
4 Mn 0.5000 0.8314 0.6847

---

[2]
Material: La4Fe3
Method: DFT, PBE
State: optimized geometry

Output
Offset from the most stable computed form = 0.000 eV per atom
Energy of formation from the pure elements = 222 meV/atom
DFT total energy = -6.221 eV per atom
Calculated volume = 179.05 Å³ per cell
Symmetry = I4/mmm

abc: 15.3872 15.3872 15.3872
angles: 167.19 167.19 18.15
Fractional positions:
1 La 0.8309 0.8309 0.0000
2 La 0.1691 0.1691 0.0000
3 La 0.5563 0.5563 0.0000
4 La 0.4437 0.4437 0.0000
5 Fe 0.0000 0.0000 0.0000
6 Fe 0.7363 0.7363 0.0000
7 Fe 0.2637 0.2637 0.0000